No. 1
Compound: BaOsIN2
Source: the Alexandria database
Functional: PBE
Structure: relaxed

Structure (POSCAR):
```
BaOsIN2
1.0
-1.205 3.987 0.761
-3.766 -1.394 1.340
1.985 -0.388 5.178
I Os Ba N
1 1 1 2
Direct
0.000 0.000 0.500 I
0.000 0.000 0.000 Os
0.500 0.500 0.500 Ba
0.000 0.500 0.000 N
0.500 0.000 0.000 N
```

## Properties
Polymorph energy (0 for the lowest one) in meV per atom: 0



No. 2
Compound: BaOsI2N
Source: the Alexandria database
Functional: PBE
Structure: relaxed

Structure (POSCAR):
```
BaOsI2N
1.0
-4.523 -0.117 2.266
-0.671 -5.220 -1.609
2.183 -1.599 4.276
I Os Ba N
2 1 1 1
Direct
0.000 0.000 0.500 I
0.500 0.000 0.000 I
0.500 0.500 0.500 Os
0.000 0.500 0.000 Ba
0.000 0.000 0.000 N
```

## Properties
Polymorph energy (0 for the lowest one) in meV per atom: 1445



No. 3
Compound: BaOsIN2
Source: the Alexandria database
Functional: PBE
Structure: relaxed

Structure (POSCAR):
```
BaOsIN2
1.0
-0.221 -4.551 -0.619
4.481 -0.350 0.970
-1.541 -0.851 6.814
I Os Ba N
1 1 1 2
Direct
0.000 0.000 0.500 I
0.500 0.500 0.500 Os
0.000 0.000 0.000 Ba
0.000 0.500 0.000 N
0.500 0.000 0.000 N
```

## Properties
Polymorph energy (0 for the lowest one) in meV per atom: 1946



No. 4
Compound: BaOsI2N
Source: the Alexandria database
Functional: PBE
Structure: relaxed

Structure (POSCAR):
```
BaOsI2N
1.0
-3.323 -1.651 4.528
4.777 -0.399 3.360
-0.420 3.682 1.034
I Os Ba N
2 1 1 1
Direct
0.000 0.500 0.000 I
0.500 0.000 0.000 I
0.000 0.000 0.000 Os
0.500 0.500 0.500 Ba
0.000 0.000 0.500 N
```

## Properties
Polymorph energy (0 for the lowest one) in meV per atom: 0



No. 5
Compound: BaOsI2N
Source: the Alexandria database
Functional: PBE
Structure: relaxed

Structure (POSCAR):
```
BaOsI2N
1.0
6.750 0.000 0.000
0.000 6.750 0.000
0.000 0.000 4.468
I Os Ba N
2 1 1 1
Direct
0.000 0.500 0.000 I
0.500 0.000 0.000 I
0.500 0.500 0.500 Os
0.000 0.000 0.000 Ba
0.000 0.000 0.500 N
```

## Properties
Polymorph energy (0 for the lowest one) in meV per atom: 1917



No. 6
Compound: BaOs2IN
Source: the Alexandria database
Functional: PBE
Structure: relaxed

Structure (POSCAR):
```
BaOs2IN
1.0
4.160 0.000 0.000
0.000 4.160 0.000
0.000 0.000 6.762
I Os Ba N
1 2 1 1
Direct
0.000 0.000 0.500 I
0.000 0.500 0.000 Os
0.500 0.000 0.000 Os
0.500 0.500 0.500 Ba
0.000 0.000 0.000 N
```



No. 7
Compound: Ba6P2I2N
Source: the Alexandria database
Functional: PBE
Structure: relaxed

Structure (POSCAR):
```
Ba6P2I2N
1.0
-6.721 -3.246 2.621
6.124 0.894 4.927
-2.589 8.366 -0.601
Ba P I N
6 2 2 1
Direct
0.763 0.763 0.690 Ba
0.071 0.375 0.694 Ba
0.237 0.237 0.310 Ba
0.375 0.071 0.694 Ba
0.929 0.625 0.306 Ba
0.625 0.929 0.306 Ba
0.332 0.668 0.500 P
0.668 0.332 0.500 P
0.827 0.173 0.000 I
0.173 0.827 0.000 I
0.000 0.000 0.500 N
```



No. 8
Compound: Ba2PdIN
Source: the Alexandria database
Functional: PBE
Structure: relaxed

Structure (POSCAR):
```
Ba2PdIN
1.0
5.835 0.000 0.000
0.000 5.835 0.000
0.000 0.000 4.097
I Ba Pd N
1 2 1 1
Direct
0.500 0.500 0.500 I
0.000 0.500 0.000 Ba
0.500 0.000 0.000 Ba
0.000 0.000 0.500 Pd
0.000 0.000 0.000 N
```



No. 9
Compound: Ba8Pd3I4N
Source: the Alexandria database
Functional: PBE
Structure: relaxed

Structure (POSCAR):
```
Ba8Pd3I4N
1.0
9.195 0.000 0.000
0.000 10.079 0.605
-4.597 -4.589 6.509
Ba Pd I N
8 3 4 1
Direct
0.214 0.686 0.972 Ba
0.215 0.686 0.430 Ba
0.263 0.288 0.526 Ba
0.758 0.686 0.972 Ba
0.242 0.314 0.028 Ba
0.737 0.712 0.474 Ba
0.785 0.314 0.570 Ba
0.786 0.314 0.028 Ba
0.500 0.500 0.000 Pd
0.500 0.500 0.500 Pd
0.000 0.500 0.500 Pd
0.500 0.000 0.000 I
0.500 0.000 0.500 I
0.000 0.000 0.000 I
0.000 0.000 0.500 I
0.000 0.500 0.000 N
```



No. 10
Compound: BaPdI2N
Source: the Alexandria database
Functional: PBE
Structure: relaxed

Structure (POSCAR):
```
BaPdI2N
1.0
6.748 0.000 0.000
0.000 6.748 0.000
0.000 0.000 5.354
I Ba Pd N
2 1 1 1
Direct
0.000 0.500 0.000 I
0.500 0.000 0.000 I
0.000 0.000 0.000 Ba
0.500 0.500 0.500 Pd
0.000 0.000 0.500 N
```

## Properties
Polymorph energy (0 for the lowest one) in meV per atom: 811



No. 11
Compound: Ba4PdI2N
Source: the Alexandria database
Functional: PBE
Structure: relaxed

Structure (POSCAR):
```
Ba4PdI2N
1.0
-4.076 0.900 1.608
-3.074 -1.259 -7.087
-0.092 -7.778 4.119
Ba Pd I N
4 1 2 1
Direct
0.500 0.270 0.188 Ba
0.500 0.730 0.812 Ba
0.000 0.287 0.818 Ba
0.000 0.713 0.182 Ba
0.000 0.000 0.000 Pd
0.500 0.000 0.500 I
0.000 0.500 0.500 I
0.500 0.500 0.000 N
```



No. 12
Compound: BaPdIN2
Source: the Alexandria database
Functional: PBE
Structure: relaxed

Structure (POSCAR):
```
BaPdIN2
1.0
-0.068 -0.376 -4.705
-2.673 -3.875 0.348
-5.904 4.052 -0.239
I Ba Pd N
1 1 1 2
Direct
0.000 0.000 0.500 I
0.000 0.000 0.000 Ba
0.500 0.500 0.500 Pd
0.000 0.500 0.000 N
0.500 0.000 0.000 N
```

## Properties
Polymorph energy (0 for the lowest one) in meV per atom: 819



No. 13
Compound: BaPdI2N
Source: the Alexandria database
Functional: PBE
Structure: relaxed

Structure (POSCAR):
```
BaPdI2N
1.0
-3.196 3.004 -4.214
3.588 -2.283 -4.349
-2.390 -3.057 -0.367
I Ba Pd N
2 1 1 1
Direct
0.000 0.500 0.000 I
0.500 0.000 0.000 I
0.500 0.500 0.500 Ba
0.000 0.000 0.000 Pd
0.000 0.000 0.500 N
```

## Properties
Polymorph energy (0 for the lowest one) in meV per atom: 0



No. 14
Compound: BaPdIN2
Source: the Alexandria database
Functional: PBE
Structure: relaxed

Structure (POSCAR):
```
BaPdIN2
1.0
4.537 0.000 0.000
0.000 4.537 0.000
0.000 0.000 5.385
I Ba Pd N
1 1 1 2
Direct
0.000 0.000 0.500 I
0.500 0.500 0.500 Ba
0.000 0.000 0.000 Pd
0.000 0.500 0.000 N
0.500 0.000 0.000 N
```

## Properties
Polymorph energy (0 for the lowest one) in meV per atom: 0



No. 15
Compound: Ba8Pt3I3N
Source: the Alexandria database
Functional: PBE
Structure: relaxed

Structure (POSCAR):
```
Ba8Pt3I3N
1.0
9.106 0.000 0.000
-4.553 7.886 -0.033
0.000 -5.223 8.793
Ba Pt I N
8 3 3 1
Direct
0.266 0.531 0.297 Ba
0.734 0.469 0.703 Ba
0.789 0.579 0.322 Ba
0.211 0.421 0.678 Ba
0.789 0.032 0.322 Ba
0.211 0.968 0.678 Ba
0.243 0.032 0.322 Ba
0.757 0.968 0.678 Ba
0.500 0.000 0.500 Pt
0.500 0.500 0.500 Pt
0.000 0.500 0.500 Pt
0.000 0.000 0.000 I
0.000 0.500 0.000 I
0.500 0.500 0.000 I
0.000 0.000 0.500 N
```



No. 16
Compound: Ba8Pt3I4N
Source: the Alexandria database
Functional: PBE
Structure: relaxed

Structure (POSCAR):
```
Ba8Pt3I4N
1.0
9.150 0.000 0.000
0.000 10.026 0.602
-4.575 -4.567 6.476
Ba Pt I N
8 3 4 1
Direct
0.216 0.685 0.970 Ba
0.216 0.686 0.432 Ba
0.264 0.292 0.528 Ba
0.754 0.685 0.970 Ba
0.246 0.315 0.030 Ba
0.736 0.708 0.472 Ba
0.784 0.314 0.568 Ba
0.784 0.315 0.030 Ba
0.500 0.500 0.000 Pt
0.500 0.500 0.500 Pt
0.000 0.500 0.500 Pt
0.500 0.000 0.000 I
0.500 0.000 0.500 I
0.000 0.000 0.000 I
0.000 0.000 0.500 I
0.000 0.500 0.000 N
```



No. 17
Compound: BaPtI2N
Source: the Alexandria database
Functional: PBE
Structure: relaxed

Structure (POSCAR):
```
BaPtI2N
1.0
-3.628 -5.331 1.788
-0.561 -1.774 -6.429
4.408 -2.864 0.405
I Ba Pt N
2 1 1 1
Direct
0.000 0.500 0.000 I
0.500 0.000 0.000 I
0.000 0.000 0.000 Ba
0.500 0.500 0.500 Pt
0.000 0.000 0.500 N
```

## Properties
Polymorph energy (0 for the lowest one) in meV per atom: 1304



No. 18
Compound: Ba4PtI2N
Source: the Alexandria database
Functional: PBE
Structure: relaxed

Structure (POSCAR):
```
Ba4PtI2N
1.0
4.467 0.000 0.000
0.000 7.780 0.219
0.000 -2.666 8.373
Ba Pt I N
4 1 2 1
Direct
0.500 0.266 0.188 Ba
0.500 0.734 0.812 Ba
0.000 0.286 0.819 Ba
0.000 0.714 0.181 Ba
0.000 0.000 0.000 Pt
0.500 0.000 0.500 I
0.000 0.500 0.500 I
0.500 0.500 0.000 N
```



No. 19
Compound: BaPtIN2
Source: the Alexandria database
Functional: PBE
Structure: relaxed

Structure (POSCAR):
```
BaPtIN2
1.0
-3.731 1.275 -2.112
1.967 -0.773 -3.942
-1.814 -5.141 0.102
I Ba Pt N
1 1 1 2
Direct
0.000 0.000 0.500 I
0.500 0.500 0.500 Ba
0.000 0.000 0.000 Pt
0.000 0.500 0.000 N
0.500 0.000 0.000 N
```

## Properties
Polymorph energy (0 for the lowest one) in meV per atom: 0



No. 20
Compound: BaPtI2N
Source: the Alexandria database
Functional: PBE
Structure: relaxed

Structure (POSCAR):
```
BaPtI2N
1.0
-3.781 -2.654 -4.076
4.819 -1.344 -3.595
0.409 -3.345 1.798
I Ba Pt N
2 1 1 1
Direct
0.000 0.500 0.000 I
0.500 0.000 0.000 I
0.500 0.500 0.500 Ba
0.000 0.000 0.000 Pt
0.000 0.000 0.500 N
```

## Properties
Polymorph energy (0 for the lowest one) in meV per atom: 0



No. 21
Compound: BaPtIN2
Source: the Alexandria database
Functional: PBE
Structure: relaxed

Structure (POSCAR):
```
BaPtIN2
1.0
4.502 0.000 0.000
0.000 4.502 0.000
0.000 0.000 7.380
I Ba Pt N
1 1 1 2
Direct
0.000 0.000 0.500 I
0.000 0.000 0.000 Ba
0.500 0.500 0.500 Pt
0.000 0.500 0.000 N
0.500 0.000 0.000 N
```

## Properties
Polymorph energy (0 for the lowest one) in meV per atom: 1101



No. 22
Compound: Rb2BaI6N
Source: the Alexandria database
Functional: PBE
Structure: relaxed

Structure (POSCAR):
```
Rb2BaI6N
1.0
-8.039 1.256 -3.153
-3.231 -0.356 8.098
-4.937 6.260 3.007
I Ba Rb N
6 1 2 1
Direct
0.286 0.286 0.428 I
0.714 0.714 0.572 I
0.271 0.271 0.000 I
0.729 0.729 0.000 I
0.729 0.271 0.000 I
0.271 0.729 0.000 I
0.000 0.000 0.000 Ba
0.750 0.250 0.500 Rb
0.250 0.750 0.500 Rb
0.500 0.500 0.000 N
```



No. 23
Compound: BaReI2N
Source: the Alexandria database
Functional: PBE
Structure: relaxed

Structure (POSCAR):
```
BaReI2N
1.0
-1.249 6.677 -0.287
-4.580 -0.643 4.984
3.858 0.880 3.659
I Re Ba N
2 1 1 1
Direct
0.000 0.500 0.000 I
0.500 0.000 0.000 I
0.500 0.500 0.500 Re
0.000 0.000 0.000 Ba
0.000 0.000 0.500 N
```

## Properties
Polymorph energy (0 for the lowest one) in meV per atom: 1592



No. 24
Compound: BaReI2N
Source: the Alexandria database
Functional: PBE
Structure: relaxed

Structure (POSCAR):
```
BaReI2N
1.0
-5.346 1.784 -1.475
-2.093 -2.139 4.998
0.661 3.420 1.741
I Re Ba N
2 1 1 1
Direct
0.000 0.500 0.000 I
0.500 0.000 0.000 I
0.000 0.000 0.000 Re
0.500 0.500 0.500 Ba
0.000 0.000 0.500 N
```

## Properties
Polymorph energy (0 for the lowest one) in meV per atom: 0



No. 25
Compound: Ba2ReIN
Source: the Alexandria database
Functional: PBE
Structure: relaxed

Structure (POSCAR):
```
Ba2ReIN
1.0
-4.494 3.154 -2.350
-2.932 -4.205 -0.037
-1.950 1.312 5.491
I Re Ba N
1 1 2 1
Direct
0.000 0.500 0.000 I
0.000 0.000 0.000 Re
0.000 0.000 0.500 Ba
0.500 0.000 0.000 Ba
0.500 0.500 0.500 N
```



No. 26
Compound: BaRhI2N
Source: the Alexandria database
Functional: PBE
Structure: relaxed

Structure (POSCAR):
```
BaRhI2N
1.0
5.926 0.000 0.000
0.000 5.926 0.000
0.000 0.000 3.849
I Rh Ba N
2 1 1 1
Direct
0.000 0.500 0.000 I
0.500 0.000 0.000 I
0.000 0.000 0.000 Rh
0.500 0.500 0.500 Ba
0.000 0.000 0.500 N
```

## Properties
Polymorph energy (0 for the lowest one) in meV per atom: 0



One value per record, in order, for E_form (uncorrected): 0.550, 1.210, 2.496, -0.235, 1.683, 0.734, -1.091, -0.751, -0.978, 0.589, -0.962, 1.575, -0.222, 0.756, -0.959, -1.086, 0.994, -1.041, 0.740, -0.310, 1.841, -0.521, 1.371, -0.221, 1.123, -0.362 eV per atom.
One value per record, in order, for M_tot: 0.37, 3.66, 5.82, 0.00, 5.10, 0.00, 0.99, 0.00, 0.00, 3.04, 0.00, 3.09, 0.00, 2.82, 0.00, 0.00, 3.17, 0.00, 2.70, 0.09, 2.74, 1.00, 3.46, 0.00, 1.41, 0.00 Bohr magnetons per cell.